Record 1
VASP calculation (PBE-GGA) on crystalline KIrBr2 at its relaxed geometry.

abc: 7.4713 7.4713 7.4713
angles: 90.00 90.00 90.00
Element x y z (fractional)
K 0.0000 0.0000 0.0000
K 0.0000 0.5000 0.5000
K 0.5000 0.0000 0.5000
K 0.5000 0.5000 0.0000
Ir 0.2500 0.2500 0.7500
Ir 0.2500 0.7500 0.2500
Ir 0.7500 0.2500 0.2500
Ir 0.7500 0.7500 0.7500
Br 0.0000 0.0000 0.5000
Br 0.0000 0.5000 0.0000
Br 0.2500 0.2500 0.2500
Br 0.2500 0.7500 0.7500
Br 0.5000 0.0000 0.0000
Br 0.5000 0.5000 0.5000
Br 0.7500 0.2500 0.7500
Br 0.7500 0.7500 0.2500

Summary:
M_tot: 2.1 μB/f.u.
formation energy without anion corrections: 0.760 eV per atom
raw total energy: -2.566 eV/atom
offset from the most stable computed form: 1.120 eV per atom

---

Record 2
VASP calculation (PBE-GGA) on crystalline K3IrBr at its relaxed geometry.

abc: 6.0514 6.0514 6.0514
angles: 90.00 90.00 90.00
Element x y z (fractional)
K 0.0000 0.0000 0.5000
K 0.0000 0.5000 0.0000
K 0.5000 0.0000 0.0000
Ir 0.0000 0.0000 0.0000
Br 0.5000 0.5000 0.5000

Summary:
M_tot: 1.0 μB/f.u.
formation energy without anion corrections: 0.050 eV per atom
raw total energy: -2.715 eV/atom
offset from the most stable computed form: 0.000 eV per atom